Version A
First-principles (PBE) data for a geometry-optimized Pm3Pr2Dy3 structure, as listed in Alexandria via LeMat-Bulk.

Values from the calculation:
ρ in g/cm³: 7.4

Cell lengths 5.128, 5.132, 10.861 Å; angles 103.67, 103.65, 90.00 degrees
Element x y z (fractional)
Pm1 0.500 0.000 0.000
Pm2 0.377 0.377 0.755
Pm3 0.623 0.623 0.245
Pr1 0.250 0.750 0.500
Pr2 0.750 0.250 0.500
Dy1 0.877 0.877 0.753
Dy2 0.123 0.123 0.247
Dy3 0.000 0.500 0.000

Version B
First-principles (PBE) data for a geometry-optimized Pm3Pr2Dy3 structure, as listed in Alexandria via LeMat-Bulk.

Values from the calculation:
ρ in g/cm³: 7.3

Cell lengths 5.649, 6.638, 16.184 Å; angles 90.00, 90.00, 115.19 degrees
Element x y z (fractional)
Dy1 0.460 0.920 0.250
Dy2 0.540 0.080 0.750
Dy3 0.381 0.763 0.950
Dy4 0.381 0.763 0.550
Dy5 0.619 0.237 0.450
Dy6 0.619 0.237 0.050
Pm1 0.924 0.847 0.406
Pm2 0.264 0.528 0.750
Pm3 0.736 0.472 0.250
Pm4 0.076 0.153 0.906
Pm5 0.924 0.847 0.094
Pm6 0.076 0.153 0.594
Pr1 0.220 0.441 0.128
Pr2 0.220 0.441 0.372
Pr3 0.780 0.559 0.628
Pr4 0.780 0.559 0.872

What is the stability order? It is version A, version B, from most stable to least stable.

Version A
First-principles (PBE) data for a geometry-optimized PmPr8Dy6 structure, as listed in Alexandria via LeMat-Bulk.

Values from the calculation:
ρ in g/cm³: 7.2

Cell lengths 6.561, 9.562, 9.562 Å; angles 120.00, 90.00, 90.00 degrees
Element x y z (fractional)
Pr1 0.825 0.245 0.959
Pr2 0.870 0.333 0.667
Pr3 0.130 0.667 0.333
Pr4 0.825 0.041 0.286
Pr5 0.825 0.714 0.755
Pr6 0.175 0.286 0.245
Pr7 0.175 0.755 0.041
Pr8 0.175 0.959 0.714
Dy1 0.665 0.444 0.348
Dy2 0.335 0.348 0.904
Dy3 0.665 0.652 0.096
Dy4 0.665 0.904 0.556
Dy5 0.335 0.096 0.444
Dy6 0.335 0.556 0.652
Pm1 0.500 0.000 0.000

Version B
First-principles (PBE) data for a geometry-optimized PmPr8Dy6 structure, as listed in Alexandria via LeMat-Bulk.

Values from the calculation:
ρ in g/cm³: 7.2

Cell lengths 9.391, 9.391, 8.691 Å; angles 57.30, 57.30, 60.00 degrees
Element x y z (fractional)
Dy1 0.893 0.738 0.924
Dy2 0.107 0.262 0.076
Dy3 0.262 0.555 0.076
Dy4 0.738 0.445 0.924
Dy5 0.555 0.107 0.076
Dy6 0.445 0.893 0.924
Pr1 0.773 0.084 0.481
Pr2 0.426 0.426 0.721
Pr3 0.916 0.338 0.519
Pr4 0.227 0.916 0.519
Pr5 0.084 0.662 0.481
Pr6 0.574 0.574 0.279
Pr7 0.662 0.773 0.481
Pr8 0.338 0.227 0.519
Pm1 0.000 0.000 0.000

What is the stability order? It is version B, version A, from most stable to least stable.

Version A
First-principles (PBE) data for a geometry-optimized Pm5PrDy2 structure, as listed in Alexandria via LeMat-Bulk.

Values from the calculation:
ρ in g/cm³: 7.2

Cell lengths 10.065, 6.549, 11.065 Å; angles 118.41, 117.05, 90.00 degrees
Element x y z (fractional)
Dy1 0.669 0.969 0.846
Dy2 0.331 0.031 0.154
Dy3 0.823 0.531 0.154
Dy4 0.177 0.469 0.846
Pm1 0.311 0.947 0.808
Pm2 0.689 0.053 0.192
Pm3 0.946 0.750 0.000
Pm4 0.889 0.618 0.601
Pm5 0.111 0.382 0.399
Pm6 0.502 0.553 0.192
Pm7 0.712 0.118 0.601
Pm8 0.288 0.882 0.399
Pm9 0.498 0.447 0.808
Pm10 0.054 0.250 0.000
Pr1 0.500 0.500 0.500
Pr2 0.000 0.000 0.500

Version B
First-principles (PBE) data for a geometry-optimized Pm5PrDy2 structure, as listed in Alexandria via LeMat-Bulk.

Values from the calculation:
ρ in g/cm³: 7.3

Cell lengths 5.124, 7.263, 14.526 Å; angles 90.00, 90.00, 90.00 degrees
Element x y z (fractional)
Pm1 0.000 0.499 0.749
Pm2 0.000 0.000 0.000
Pm3 0.500 0.251 0.374
Pm4 0.000 0.501 0.251
Pm5 0.500 0.249 0.874
Pm6 0.500 0.749 0.626
Pm7 0.000 0.500 0.500
Pm8 0.000 0.001 0.249
Pm9 0.500 0.751 0.126
Pm10 0.000 0.999 0.751
Dy1 0.500 0.250 0.125
Dy2 0.500 0.750 0.875
Dy3 0.500 0.250 0.625
Dy4 0.500 0.750 0.375
Pr1 0.000 0.000 0.500
Pr2 0.000 0.500 0.000

What is the stability order? It is version B, version A, from most stable to least stable.

Version A
First-principles (PBE) data for a geometry-optimized Pm4Pr3Dy structure, as listed in Alexandria via LeMat-Bulk.

Values from the calculation:
ρ in g/cm³: 6.9

Cell lengths 3.509, 6.301, 12.947 Å; angles 95.17, 97.79, 90.00 degrees
Element x y z (fractional)
Pm1 0.106 0.243 0.212
Pm2 0.722 0.237 0.443
Pm3 0.278 0.763 0.557
Pm4 0.894 0.757 0.788
Pr1 0.000 0.500 0.000
Pr2 0.856 0.243 0.712
Pr3 0.144 0.757 0.288
Dy1 0.500 0.000 0.000

Version B
First-principles (PBE) data for a geometry-optimized Pm4Pr3Dy structure, as listed in Alexandria via LeMat-Bulk.

Values from the calculation:
ρ in g/cm³: 6.9

Cell lengths 6.392, 7.398, 11.849 Å; angles 90.00, 90.00, 90.00 degrees
Element x y z (fractional)
Pm1 0.481 0.875 0.748
Pm2 0.647 0.125 0.000
Pm3 0.147 0.875 0.500
Pm4 0.981 0.125 0.752
Pm5 0.481 0.875 0.252
Pm6 0.150 0.876 0.000
Pm7 0.650 0.124 0.500
Pm8 0.981 0.125 0.248
Pr1 0.481 0.375 0.250
Pr2 0.648 0.627 0.000
Pr3 0.981 0.625 0.250
Pr4 0.148 0.373 0.500
Pr5 0.981 0.625 0.750
Pr6 0.481 0.375 0.750
Dy1 0.147 0.374 0.000
Dy2 0.647 0.626 0.500

What is the stability order? It is version B, version A, from most stable to least stable.

Version A
First-principles (PBE) data for a geometry-optimized Pm7PrDy3 structure, as listed in Alexandria via LeMat-Bulk.

Values from the calculation:
ρ in g/cm³: 7.1

Cell lengths 6.448, 7.796, 7.784 Å; angles 81.46, 85.56, 85.49 degrees
Element x y z (fractional)
Pm1 0.000 0.500 0.500
Pm2 0.260 0.074 0.424
Pm3 0.212 0.765 0.765
Pm4 0.788 0.235 0.235
Pm5 0.260 0.424 0.074
Pm6 0.740 0.926 0.576
Pm7 0.740 0.576 0.926
Dy1 0.001 0.830 0.170
Dy2 0.999 0.170 0.830
Dy3 0.500 0.000 0.000
Pr1 0.500 0.500 0.500

Version B
First-principles (PBE) data for a geometry-optimized Pm7PrDy3 structure, as listed in Alexandria via LeMat-Bulk.

Values from the calculation:
ρ in g/cm³: 7.0

Cell lengths 8.689, 7.209, 7.209 Å; angles 120.00, 90.00, 90.00 degrees
Element x y z (fractional)
Pm1 0.110 0.167 0.334
Pm2 0.456 0.833 0.666
Pm3 0.456 0.833 0.167
Pm4 0.110 0.666 0.833
Pm5 0.456 0.334 0.167
Pm6 0.123 0.667 0.333
Pm7 0.110 0.167 0.833
Pr1 0.442 0.333 0.667
Dy1 0.784 0.999 0.500
Dy2 0.784 0.500 0.001
Dy3 0.784 0.500 0.500

What is the stability order? It is version B, version A, from most stable to least stable.

Version A
First-principles (PBE) data for a geometry-optimized Pm5Pr4Dy2 structure, as listed in Alexandria via LeMat-Bulk.

Values from the calculation:
ρ in g/cm³: 6.9

Cell lengths 3.583, 8.848, 12.364 Å; angles 94.36, 98.33, 90.00 degrees
Element x y z (fractional)
Pm1 0.500 0.000 0.000
Pm2 0.130 0.046 0.261
Pm3 0.870 0.954 0.739
Pm4 0.184 0.475 0.368
Pm5 0.816 0.525 0.632
Dy1 0.413 0.302 0.825
Dy2 0.587 0.698 0.175
Pr1 0.041 0.346 0.081
Pr2 0.959 0.654 0.919
Pr3 0.726 0.825 0.452
Pr4 0.274 0.175 0.548

Version B
First-principles (PBE) data for a geometry-optimized Pm5Pr4Dy2 structure, as listed in Alexandria via LeMat-Bulk.

Values from the calculation:
ρ in g/cm³: 6.9

Cell lengths 3.594, 11.678, 11.126 Å; angles 121.66, 99.29, 90.00 degrees
Element x y z (fractional)
Pr1 0.590 0.590 0.180
Pr2 0.000 0.259 0.000
Pr3 0.410 0.410 0.820
Pr4 0.000 0.741 0.000
Pm1 0.820 0.112 0.641
Pm2 0.820 0.529 0.641
Pm3 0.500 0.000 0.000
Pm4 0.180 0.471 0.359
Pm5 0.180 0.888 0.359
Dy1 0.204 0.204 0.407
Dy2 0.796 0.796 0.593

What is the stability order? It is version A, version B, from most stable to least stable.

Version A
First-principles (PBE) data for a geometry-optimized PmPr7Dy12 structure, as listed in Alexandria via LeMat-Bulk.

Values from the calculation:
ρ in g/cm³: 7.5

Cell lengths 8.841, 8.841, 8.841 Å; angles 86.17, 86.17, 86.17 degrees
Element x y z (fractional)
Dy1 0.504 0.381 0.866
Dy2 0.866 0.504 0.381
Dy3 0.854 0.255 0.725
Dy4 0.619 0.134 0.496
Dy5 0.134 0.496 0.619
Dy6 0.255 0.725 0.854
Dy7 0.146 0.745 0.275
Dy8 0.496 0.619 0.134
Dy9 0.745 0.275 0.146
Dy10 0.381 0.866 0.504
Dy11 0.725 0.854 0.255
Dy12 0.275 0.146 0.745
Pr1 0.078 0.157 0.398
Pr2 0.500 0.500 0.500
Pr3 0.843 0.602 0.922
Pr4 0.602 0.922 0.843
Pr5 0.398 0.078 0.157
Pr6 0.922 0.843 0.602
Pr7 0.157 0.398 0.078
Pm1 0.000 0.000 0.000

Version B
First-principles (PBE) data for a geometry-optimized PmPr7Dy12 structure, as listed in Alexandria via LeMat-Bulk.

Values from the calculation:
ρ in g/cm³: 7.0

Cell lengths 9.848, 9.848, 9.848 Å; angles 109.47, 109.47, 109.47 degrees
Element x y z (fractional)
Dy1 0.497 0.248 0.249
Dy2 0.249 0.000 0.752
Dy3 0.248 0.751 0.000
Dy4 0.503 0.752 0.751
Dy5 0.752 0.249 0.000
Dy6 0.751 0.503 0.752
Dy7 0.248 0.249 0.497
Dy8 0.000 0.248 0.751
Dy9 0.249 0.497 0.248
Dy10 0.000 0.752 0.249
Dy11 0.752 0.751 0.503
Dy12 0.751 0.000 0.248
Pr1 0.000 0.500 0.500
Pr2 0.000 0.500 0.000
Pr3 0.500 0.500 0.000
Pr4 0.500 0.500 0.500
Pr5 0.500 0.000 0.500
Pr6 0.500 0.000 0.000
Pr7 0.000 0.000 0.500
Pm1 0.000 0.000 0.000

What is the stability order? It is version A, version B, from most stable to least stable.

Version A
First-principles (PBE) data for a geometry-optimized Pm2Pr5Dy structure, as listed in Alexandria via LeMat-Bulk.

Values from the calculation:
ρ in g/cm³: 6.8

Cell lengths 5.206, 7.340, 14.711 Å; angles 90.00, 90.00, 90.00 degrees
Element x y z (fractional)
Pr1 0.000 0.000 0.748
Pr2 0.500 0.751 0.624
Pr3 0.000 0.500 0.752
Pr4 0.000 0.500 0.248
Pr5 0.000 0.000 0.000
Pr6 0.500 0.249 0.376
Pr7 0.500 0.749 0.124
Pr8 0.000 0.000 0.252
Pr9 0.000 0.500 0.500
Pr10 0.500 0.251 0.876
Pm1 0.500 0.250 0.124
Pm2 0.500 0.750 0.376
Pm3 0.500 0.250 0.624
Pm4 0.500 0.750 0.876
Dy1 0.000 0.500 0.000
Dy2 0.000 0.000 0.500

Version B
First-principles (PBE) data for a geometry-optimized Pm2Pr5Dy structure, as listed in Alexandria via LeMat-Bulk.

Values from the calculation:
ρ in g/cm³: 6.7

Cell lengths 16.628, 16.628, 10.673 Å; angles 60.81, 60.81, 119.93 degrees
Element x y z (fractional)
Pr1 0.321 0.603 0.989
Pr2 0.654 0.346 0.750
Pr3 0.603 0.321 0.489
Pr4 0.958 0.075 0.472
Pr5 0.397 0.679 0.511
Pr6 0.042 0.925 0.528
Pr7 0.679 0.398 0.011
Pr8 0.075 0.958 0.972
Pr9 0.925 0.042 0.028
Pr10 0.346 0.654 0.250
Pm1 0.500 0.000 0.000
Pm2 0.000 0.500 0.500
Pm3 0.500 0.500 0.000
Pm4 0.500 0.500 0.500
Dy1 0.761 0.239 0.250
Dy2 0.239 0.761 0.750

What is the stability order? It is version A, version B, from most stable to least stable.

Version A
First-principles (PBE) data for a geometry-optimized PmPr2Dy7 structure, as listed in Alexandria via LeMat-Bulk.

Values from the calculation:
ρ in g/cm³: 8.0

Cell lengths 8.012, 13.877, 9.490 Å; angles 122.43, 126.24, 22.53 degrees
Element x y z (fractional)
Dy1 0.199 0.401 0.198
Dy2 0.303 0.099 0.801
Dy3 0.801 0.599 0.802
Dy4 0.897 0.301 0.400
Dy5 0.697 0.901 0.199
Dy6 0.500 0.500 0.000
Dy7 0.103 0.699 0.600
Pr1 0.399 0.800 0.398
Pr2 0.601 0.200 0.602
Pm1 0.000 0.000 0.000

Version B
First-principles (PBE) data for a geometry-optimized PmPr2Dy7 structure, as listed in Alexandria via LeMat-Bulk.

Values from the calculation:
ρ in g/cm³: 7.8

Cell lengths 3.519, 14.886, 14.886 Å; angles 154.56, 90.00, 90.00 degrees
Element x y z (fractional)
Dy1 0.500 0.345 0.148
Dy2 0.000 0.185 0.815
Dy3 0.500 0.852 0.655
Dy4 0.500 0.500 0.500
Dy5 0.000 0.815 0.185
Dy6 0.500 0.148 0.345
Dy7 0.500 0.655 0.852
Pm1 0.000 0.000 0.000
Pr1 0.500 0.707 0.293
Pr2 0.500 0.293 0.707

What is the stability order? It is version A, version B, from most stable to least stable.

Version A
First-principles (PBE) data for a geometry-optimized PmPrDy2 structure, as listed in Alexandria via LeMat-Bulk.

Values from the calculation:
ρ in g/cm³: 7.6

Cell lengths 3.619, 3.619, 10.182 Å; angles 90.00, 90.00, 90.00 degrees
Element x y z (fractional)
Dy1 0.000 0.000 0.752
Dy2 0.000 0.000 0.248
Pr1 0.500 0.500 0.500
Pm1 0.500 0.500 0.000

Version B
First-principles (PBE) data for a geometry-optimized PmPrDy2 structure, as listed in Alexandria via LeMat-Bulk.

Values from the calculation:
ρ in g/cm³: 7.6

Cell lengths 3.615, 7.189, 12.431 Å; angles 124.69, 90.00, 90.00 degrees
Element x y z (fractional)
Pr1 0.910 0.200 0.865
Pr2 0.410 0.704 0.117
Dy1 0.411 0.202 0.615
Dy2 0.911 0.702 0.865
Dy3 0.910 0.702 0.367
Dy4 0.411 0.202 0.117
Pm1 0.910 0.204 0.367
Pm2 0.410 0.700 0.615

What is the stability order? It is version B, version A, from most stable to least stable.